{
  "formula": "CoAsW2",
  "functional": "GGA-PBE",
  "state": "optimized geometry",
  "lattice_angstrom": [[-2.264, 1.131, -1.957], [-1.667, -2.706, 0.364], [-2.728, 2.281, 4.472]],
  "species": ["As", "Co", "W", "W"],
  "fractional_positions": [[0.000, 0.000, 0.504], [0.500, 0.500, 0.768], [0.000, 0.000, 0.968], [0.500, 0.500, 0.260]],
  "formation_enthalpy_0k_kj_per_mol_fu": 71,
  "sg": "No. 99"
}